No. 1
First-principles (PBE-GGA) data for a geometry-optimized Y2OsC2 structure, as listed in Alexandria via LeMat-Bulk.

Values from the calculation:
Symmetry: No. 62
Excess energy over the best structure of this formula in the dataset (eV per atom): 0.000
D(E_F) (states/eV per cell): 9.552
Formation enthalpy at 0 K (meV per atom): -379.3
Volume (Å³ per atom): 16.35

abc: 6.468 5.146 9.824
angles: 90.00 90.00 90.00
Fractional coordinates of all 20 atoms:
Y 0.027 0.250 0.220
Y 0.184 0.250 0.552
Y 0.316 0.750 0.052
Y 0.473 0.750 0.720
Y 0.527 0.250 0.280
Y 0.684 0.250 0.948
Y 0.816 0.750 0.448
Y 0.973 0.750 0.780
Os 0.227 0.250 0.864
Os 0.273 0.750 0.364
Os 0.727 0.250 0.636
Os 0.773 0.750 0.136
C 0.037 0.750 0.242
C 0.177 0.750 0.552
C 0.323 0.250 0.052
C 0.463 0.250 0.742
C 0.537 0.750 0.258
C 0.677 0.750 0.948
C 0.823 0.250 0.448
C 0.963 0.250 0.758

***

No. 2
First-principles (PBE-GGA) data for a geometry-optimized Li2CoRu structure, as listed in Alexandria via LeMat-Bulk.

Values from the calculation:
Symmetry: No. 35
Excess energy over the best structure of this formula in the dataset (eV per atom): 0.100
D(E_F) (states/eV per cell): 3.129
Formation enthalpy at 0 K (meV per atom): 223.9
Volume (Å³ per atom): 13.90

abc: 2.599 2.599 9.154
angles: 90.00 90.00 115.96
Fractional coordinates of all 4 atoms:
Li 0.000 0.000 0.000
Li 0.500 0.500 0.290
Co 0.500 0.500 0.764
Ru 0.000 0.000 0.535

***

No. 3
First-principles (PBE-GGA) data for a geometry-optimized ScIn2Hg8 structure, as listed in Alexandria via LeMat-Bulk.

Values from the calculation:
Symmetry: No. 2
D(E_F) (states/eV per cell): 5.216
Formation enthalpy at 0 K (meV per atom): -44.5
Volume (Å³ per atom): 25.68

abc: 5.156 5.290 10.902
angles: 102.07 103.24 90.75
Fractional coordinates of all 11 atoms:
Sc 0.000 0.000 0.000
In 0.252 0.696 0.500
In 0.748 0.304 0.500
Hg 0.080 0.579 0.148
Hg 0.150 0.138 0.301
Hg 0.334 0.244 0.674
Hg 0.437 0.771 0.877
Hg 0.563 0.229 0.123
Hg 0.666 0.756 0.326
Hg 0.850 0.862 0.699
Hg 0.920 0.421 0.852

***

Please write out number 1 again, unchanged.
First-principles (PBE-GGA) data for a geometry-optimized Y2OsC2 structure, as listed in Alexandria via LeMat-Bulk.

Values from the calculation:
Symmetry: No. 62
Excess energy over the best structure of this formula in the dataset (eV per atom): 0.000
D(E_F) (states/eV per cell): 9.552
Formation enthalpy at 0 K (meV per atom): -379.3
Volume (Å³ per atom): 16.35

abc: 6.468 5.146 9.824
angles: 90.00 90.00 90.00
Fractional coordinates of all 20 atoms:
Y 0.027 0.250 0.220
Y 0.184 0.250 0.552
Y 0.316 0.750 0.052
Y 0.473 0.750 0.720
Y 0.527 0.250 0.280
Y 0.684 0.250 0.948
Y 0.816 0.750 0.448
Y 0.973 0.750 0.780
Os 0.227 0.250 0.864
Os 0.273 0.750 0.364
Os 0.727 0.250 0.636
Os 0.773 0.750 0.136
C 0.037 0.750 0.242
C 0.177 0.750 0.552
C 0.323 0.250 0.052
C 0.463 0.250 0.742
C 0.537 0.750 0.258
C 0.677 0.750 0.948
C 0.823 0.250 0.448
C 0.963 0.250 0.758